1.
## LiSn2PAu (GGA-PBE)

Data for an optimized crystal structure of LiSn2PAu.

## Properties
Energy of formation from the pure elements ... 411.2 meV/atom

Lattice parameters (Å, degrees): 5.634 5.634 4.635 90.00 90.00 90.00
Fractional coordinates of all 5 atoms:
Li  0.000  0.000  0.000
Sn  0.000  0.500  0.500
Sn  0.500  0.000  0.500
P  0.500  0.500  0.000
Au  0.500  0.500  0.500


2.
## TbThAu4 (GGA-PBE)

Data for an optimized crystal structure of TbThAu4.

## Properties
Energy of formation from the pure elements ... -753.1 meV/atom
Energy above the most stable polymorph in this dataset ... 4 meV per atom

Lattice parameters (Å, degrees): 3.830 3.830 9.235 90.00 90.00 90.00
Fractional coordinates of all 6 atoms:
Tb  0.000  0.000  0.000
Th  0.500  0.500  0.500
Au  0.000  0.000  0.327
Au  0.000  0.000  0.673
Au  0.500  0.500  0.161
Au  0.500  0.500  0.839


3.
## BaRe2PN2 (GGA-PBE)

Data for an optimized crystal structure of BaRe2PN2.

## Properties
Energy relative to the elements, uncorrected ... -0.3463 eV/atom

Lattice parameters (Å, degrees): 6.754 5.259 7.525 90.00 110.59 90.00
Fractional coordinates of all 12 atoms:
Ba  0.172  0.250  0.320
Ba  0.828  0.750  0.680
Re  0.369  0.501  0.811
Re  0.369  0.999  0.811
Re  0.631  0.001  0.189
Re  0.631  0.499  0.189
P  0.306  0.750  0.057
P  0.694  0.250  0.943
N  0.150  0.250  0.699
N  0.414  0.750  0.639
N  0.586  0.250  0.361
N  0.850  0.750  0.301


4.
## ZrUPa2N4 (GGA-PBE)

Data for an optimized crystal structure of ZrUPa2N4.

## Properties
Energy relative to the elements, uncorrected ... -1.5771 eV/atom

Lattice parameters (Å, degrees): 5.912 3.418 5.949 90.00 108.98 90.00
Fractional coordinates of all 8 atoms:
Zr  0.000  0.000  0.000
U  0.500  0.500  0.000
Pa  0.000  0.500  0.500
Pa  0.500  0.000  0.500
N  0.241  0.500  0.234
N  0.247  0.000  0.763
N  0.753  0.000  0.237
N  0.759  0.500  0.766


5.
## Dy4TlNi2 (GGA-PBE)

Data for an optimized crystal structure of Dy4TlNi2.

## Properties
Energy of formation from the pure elements ... -185.8 meV/atom

Lattice parameters (Å, degrees): 9.538 9.538 9.538 28.71 28.71 28.71
Fractional coordinates of all 7 atoms:
Dy  0.111  0.111  0.111
Dy  0.298  0.298  0.298
Dy  0.702  0.702  0.702
Dy  0.889  0.889  0.889
Tl  0.500  0.500  0.500
Ni  0.400  0.400  0.400
Ni  0.600  0.600  0.600


6.
## Y2ZnCuSe (GGA-PBE)

Data for an optimized crystal structure of Y2ZnCuSe.

## Properties
Energy relative to the elements, uncorrected ... -0.2637 eV/atom

Lattice parameters (Å, degrees): 5.397 5.397 4.427 90.00 90.00 90.00
Fractional coordinates of all 5 atoms:
Y  0.000  0.500  0.000
Y  0.500  0.000  0.000
Zn  0.000  0.000  0.500
Cu  0.500  0.500  0.500
Se  0.500  0.500  0.000


7.
## BaSi2Pd4 (GGA-PBE)

Data for an optimized crystal structure of BaSi2Pd4.

## Properties
Energy above the most stable polymorph in this dataset ... 171 meV per atom
Energy relative to the elements, uncorrected ... -0.4087 eV/atom

Lattice parameters (Å, degrees): 5.697 5.697 5.225 117.11 117.11 90.27
Fractional coordinates of all 7 atoms:
Ba  0.000  0.000  0.000
Si  0.499  0.499  0.257
Si  0.501  0.501  0.743
Pd  0.068  0.421  0.745
Pd  0.421  0.068  0.745
Pd  0.579  0.932  0.255
Pd  0.932  0.579  0.255


8.
## Nd3Sm2Ho6Pu (GGA-PBE)

Data for an optimized crystal structure of Nd3Sm2Ho6Pu.

## Properties
Energy of formation from the pure elements ... 42.6 meV/atom

Lattice parameters (Å, degrees): 6.198 6.198 11.731 95.06 95.06 120.03
Fractional coordinates of all 12 atoms:
Nd  0.000  0.000  0.000
Nd  0.333  0.667  0.000
Nd  0.667  0.333  0.000
Sm  0.167  0.833  0.500
Sm  0.833  0.167  0.500
Ho  0.089  0.418  0.254
Ho  0.253  0.253  0.746
Ho  0.418  0.089  0.254
Ho  0.582  0.911  0.746
Ho  0.747  0.747  0.254
Ho  0.911  0.582  0.746
Pu  0.500  0.500  0.500


Asked for calculated density across the records above, the calculation gives 5.33 14.45 7.55 12.38 9.11 4.97 7.94 8.50 g cm⁻³ in order.